No. 1
VASP calculation (PBE-GGA) on an optimized crystal structure of ZrMnAg.

Structure (CIF):
```
data_ZrMnAg
_space_group_name_H-M_alt 'F -4 3 m'
_space_group_IT_number 216
_space_group_name_Hall 'F -4 2 3'
_cell_length_a 6.4491
_cell_length_b 6.4491
_cell_length_c 6.4491
_cell_angle_alpha 90.00
_cell_angle_beta 90.00
_cell_angle_gamma 90.00
loop_
_atom_site_label
_atom_site_type_symbol
_atom_site_fract_x
_atom_site_fract_y
_atom_site_fract_z
_atom_site_occupancy
Zr1 Zr 0.0000 0.0000 0.0000 1
Mn1 Mn 0.2500 0.2500 0.7500 1
Ag1 Ag 0.2500 0.2500 0.2500 1
```

E = -72.08 eV for the cell shown
ΔE_f = 0.849 eV per atom

=====

No. 2
VASP calculation (PBE-GGA) on an optimized crystal structure of ZrMnAg2.

Structure (CIF):
```
data_ZrMnAg2
_space_group_name_H-M_alt 'P 1 m 1'
_space_group_IT_number 6
_cell_length_a 3.3263
_cell_length_b 3.3246
_cell_length_c 6.5839
_cell_angle_alpha 90.00
_cell_angle_beta 90.07
_cell_angle_gamma 90.00
loop_
_space_group_symop_operation_xyz
'x,y,z'
'x,-y,z'
loop_
_atom_site_label
_atom_site_type_symbol
_atom_site_fract_x
_atom_site_fract_y
_atom_site_fract_z
_atom_site_occupancy
Zr1 Zr 0.0000 0.0000 0.0000 1
Mn1 Mn 0.5000 0.5000 0.7497 1
Ag1 Ag 0.0000 0.0000 0.5251 1
Ag2 Ag 0.5000 0.5000 0.2781 1
```

E = -23.13 eV for the cell shown
ΔE_f = 0.072 eV per atom

=====

No. 3
VASP calculation (PBE-GGA) on an optimized crystal structure of ZrMnAg2.

Structure (CIF):
```
data_ZrMnAg2
_space_group_name_H-M_alt 'I -4 2 d'
_space_group_IT_number 122
_space_group_name_Hall 'I -4 2bw'
_cell_length_a 3.8546
_cell_length_b 3.8546
_cell_length_c 20.5341
_cell_angle_alpha 90.00
_cell_angle_beta 90.00
_cell_angle_gamma 90.00
loop_
_atom_site_label
_atom_site_type_symbol
_atom_site_fract_x
_atom_site_fract_y
_atom_site_fract_z
_atom_site_occupancy
Zr1 Zr 0.0000 0.0000 0.0000 1
Mn1 Mn 0.0000 0.0000 0.5000 1
Ag1 Ag 0.2402 0.2500 0.6250 1
```

E = -87.01 eV for the cell shown
ΔE_f = 0.417 eV per atom

=====

No. 4
VASP calculation (PBE-GGA) on an optimized crystal structure of ZrMnAg2.

Structure (CIF):
```
data_ZrMnAg2
_space_group_name_H-M_alt 'C 1 m 1'
_space_group_IT_number 8
_cell_length_a 9.6925
_cell_length_b 3.0270
_cell_length_c 5.1153
_cell_angle_alpha 90.00
_cell_angle_beta 103.12
_cell_angle_gamma 90.00
loop_
_space_group_symop_operation_xyz
'x,y,z'
'x,-y,z'
'x+1/2,y+1/2,z'
'x+1/2,-y+1/2,z'
loop_
_atom_site_label
_atom_site_type_symbol
_atom_site_fract_x
_atom_site_fract_y
_atom_site_fract_z
_atom_site_occupancy
Zr1 Zr 0.0000 0.0000 0.0000 1
Mn1 Mn 0.2452 0.5000 0.2442 1
Ag1 Ag 0.2384 0.0000 0.7301 1
Ag2 Ag 0.4856 0.0000 0.4881 1
```

E = -45.42 eV for the cell shown
ΔE_f = 0.177 eV per atom

=====

No. 5
VASP calculation (PBE-GGA) on an optimized crystal structure of Zr2MnAg.

Structure (CIF):
```
data_Zr2MnAg
_space_group_name_H-M_alt 'C m m m'
_space_group_IT_number 65
_space_group_name_Hall '-C 2 2'
_cell_length_a 6.6420
_cell_length_b 6.6505
_cell_length_c 3.3303
_cell_angle_alpha 90.00
_cell_angle_beta 90.00
_cell_angle_gamma 90.00
loop_
_atom_site_label
_atom_site_type_symbol
_atom_site_fract_x
_atom_site_fract_y
_atom_site_fract_z
_atom_site_occupancy
Zr1 Zr 0.2500 0.2500 0.0000 1
Mn1 Mn 0.0000 0.0000 0.5000 1
Ag1 Ag 0.0000 0.5000 0.5000 1
```

E = -57.63 eV for the cell shown
ΔE_f = 0.076 eV per atom

=====

No. 6
VASP calculation (PBE-GGA) on an optimized crystal structure of Zr2MnAg.

Structure (CIF):
```
data_Zr2MnAg
_space_group_name_H-M_alt 'P 1 2/m 1'
_space_group_IT_number 10
_cell_length_a 3.1512
_cell_length_b 3.1445
_cell_length_c 7.4592
_cell_angle_alpha 90.00
_cell_angle_beta 90.06
_cell_angle_gamma 90.00
loop_
_space_group_symop_operation_xyz
'x,y,z'
'-x,-y,-z'
'-x,y,-z'
'x,-y,z'
loop_
_atom_site_label
_atom_site_type_symbol
_atom_site_fract_x
_atom_site_fract_y
_atom_site_fract_z
_atom_site_occupancy
Zr1 Zr 0.0025 0.0000 0.2885 1
Mn1 Mn 0.5000 0.5000 0.5000 1
Ag1 Ag 0.5000 0.5000 0.0000 1
```

E = -29.44 eV for the cell shown
ΔE_f = -0.080 eV per atom

=====

No. 7
VASP calculation (PBE-GGA) on an optimized crystal structure of ZrMnAg2.

Structure (CIF):
```
data_ZrMnAg2
_space_group_name_H-M_alt 'I -4 m 2'
_space_group_IT_number 119
_space_group_name_Hall 'I -4 -2'
_cell_length_a 4.1568
_cell_length_b 4.1568
_cell_length_c 8.3348
_cell_angle_alpha 90.00
_cell_angle_beta 90.00
_cell_angle_gamma 90.00
loop_
_atom_site_label
_atom_site_type_symbol
_atom_site_fract_x
_atom_site_fract_y
_atom_site_fract_z
_atom_site_occupancy
Zr1 Zr 0.0000 0.0000 0.0000 1
Mn1 Mn 0.0000 0.5000 0.2500 1
Ag1 Ag 0.0000 0.0000 0.5000 1
Ag2 Ag 0.0000 0.5000 0.7500 1
```

E = -45.45 eV for the cell shown
ΔE_f = 0.174 eV per atom

=====

No. 8
VASP calculation (PBE-GGA) on an optimized crystal structure of Zr2MnAg.

Structure (CIF):
```
data_Zr2MnAg
_space_group_name_H-M_alt 'I -4 2 d'
_space_group_IT_number 122
_space_group_name_Hall 'I -4 2bw'
_cell_length_a 4.0821
_cell_length_b 4.0821
_cell_length_c 20.0844
_cell_angle_alpha 90.00
_cell_angle_beta 90.00
_cell_angle_gamma 90.00
loop_
_atom_site_label
_atom_site_type_symbol
_atom_site_fract_x
_atom_site_fract_y
_atom_site_fract_z
_atom_site_occupancy
Zr1 Zr 0.2454 0.2500 0.1250 1
Mn1 Mn 0.0000 0.0000 0.0000 1
Ag1 Ag 0.0000 0.0000 0.5000 1
```

E = -107.20 eV for the cell shown
ΔE_f = 0.579 eV per atom

=====

No. 9
VASP calculation (PBE-GGA) on an optimized crystal structure of Zr2Mn2Ag.

Structure (CIF):
```
data_Zr2Mn2Ag
_space_group_name_H-M_alt 'P 4/m b m'
_space_group_IT_number 127
_space_group_name_Hall '-P 4 2ab'
_cell_length_a 7.7356
_cell_length_b 7.7356
_cell_length_c 3.1390
_cell_angle_alpha 90.00
_cell_angle_beta 90.00
_cell_angle_gamma 90.00
loop_
_atom_site_label
_atom_site_type_symbol
_atom_site_fract_x
_atom_site_fract_y
_atom_site_fract_z
_atom_site_occupancy
Zr1 Zr 0.1493 0.3507 0.0000 1
Mn1 Mn 0.1400 0.6400 0.5000 1
Ag1 Ag 0.0000 0.0000 0.0000 1
```

E = -73.27 eV for the cell shown
ΔE_f = 0.330 eV per atom

=====

No. 10
VASP calculation (PBE-GGA) on an optimized crystal structure of Zr2MnAg.

Structure (CIF):
```
data_Zr2MnAg
_space_group_name_H-M_alt 'F -4 3 m'
_space_group_IT_number 216
_space_group_name_Hall 'F -4 2 3'
_cell_length_a 6.7041
_cell_length_b 6.7041
_cell_length_c 6.7041
_cell_angle_alpha 90.00
_cell_angle_beta 90.00
_cell_angle_gamma 90.00
loop_
_atom_site_label
_atom_site_type_symbol
_atom_site_fract_x
_atom_site_fract_y
_atom_site_fract_z
_atom_site_occupancy
Zr1 Zr 0.0000 0.0000 0.0000 1
Zr2 Zr 0.2500 0.2500 0.2500 1
Mn1 Mn 0.0000 0.0000 0.5000 1
Ag1 Ag 0.2500 0.2500 0.7500 1
```

E = -113.90 eV for the cell shown
ΔE_f = 0.161 eV per atom

=====

No. 11
VASP calculation (PBE-GGA) on an optimized crystal structure of Zr2MnAg.

Structure (CIF):
```
data_Zr2MnAg
_space_group_name_H-M_alt 'P 4 m m'
_space_group_IT_number 99
_cell_length_a 3.2310
_cell_length_b 3.2310
_cell_length_c 7.4954
_cell_angle_alpha 90.00
_cell_angle_beta 90.00
_cell_angle_gamma 90.00
loop_
_space_group_symop_operation_xyz
'x,y,z'
'-y,x,z'
'-x,-y,z'
'y,-x,z'
'-x,y,z'
'y,x,z'
'x,-y,z'
'-y,-x,z'
loop_
_atom_site_label
_atom_site_type_symbol
_atom_site_fract_x
_atom_site_fract_y
_atom_site_fract_z
_atom_site_occupancy
Zr1 Zr 0.0000 0.0000 0.0000 1
Zr2 Zr 0.5000 0.5000 0.2875 1
Mn1 Mn 0.5000 0.5000 0.7690 1
Ag1 Ag 0.0000 0.0000 0.5566 1
```

E = -28.86 eV for the cell shown
ΔE_f = 0.064 eV per atom

=====

No. 12
VASP calculation (PBE-GGA) on an optimized crystal structure of ZrMnAg.

Structure (CIF):
```
data_ZrMnAg
_space_group_name_H-M_alt 'I 4 m m'
_space_group_IT_number 107
_space_group_name_Hall 'I 4 -2'
_cell_length_a 3.1269
_cell_length_b 3.1269
_cell_length_c 11.2550
_cell_angle_alpha 90.00
_cell_angle_beta 90.00
_cell_angle_gamma 90.00
loop_
_atom_site_label
_atom_site_type_symbol
_atom_site_fract_x
_atom_site_fract_y
_atom_site_fract_z
_atom_site_occupancy
Zr1 Zr 0.0000 0.0000 0.0000 1
Mn1 Mn 0.0000 0.0000 0.3375 1
Ag1 Ag 0.0000 0.0000 0.6896 1
```

E = -40.58 eV for the cell shown
ΔE_f = 0.092 eV per atom